VASP calculation (PBE) on an optimized crystal structure of Rb3Se2S2.

The structure in POSCAR format:
```
Rb3Se2S2
1.0
-2.364 2.478 9.961
2.364 -2.478 9.961
2.364 2.478 -9.961
Rb Se S
3 2 2
Cartesian
0.000 0.000 0.000
2.364 0.000 3.642
0.000 2.478 6.319
0.000 0.000 8.777
0.000 0.000 11.144
2.364 0.000 7.089
0.000 2.478 2.871
```

For the formation energy (no corrections), the calculation gives -57 kJ per mole of atoms. For the spin magnetization, the calculation gives 0.877 μB/f.u. The density of states at the Fermi level is 0.86 states/eV/atom.

VASP calculation (PBE) on an optimized crystal structure of GaNiSnSb2.

The structure in POSCAR format:
```
GaNiSnSb2
1.0
5.275 0.000 0.000
0.000 5.275 0.000
0.000 0.000 5.147
Ga Ni Sn Sb
1 1 1 2
Cartesian
0.000 0.000 0.000
2.638 2.638 2.574
0.000 0.000 2.574
0.000 2.638 0.000
2.638 0.000 0.000
```

For the formation energy (no corrections), the calculation gives 94 kJ per mole of atoms. For the spin magnetization, the calculation gives 0.000 μB/f.u. The density of states at the Fermi level is 1.22 states/eV/atom.

VASP calculation (PBE) on an optimized crystal structure of Ti2FeRu2.

The structure in POSCAR format:
```
Ti2FeRu2
1.0
6.950 0.000 0.000
0.000 6.950 0.000
0.000 0.000 3.070
Ti Fe Ru
4 2 4
Cartesian
1.167 2.308 0.000
2.308 5.783 0.000
4.642 1.167 0.000
5.783 4.642 0.000
0.000 0.000 1.535
3.475 3.475 1.535
0.955 4.431 1.535
2.520 0.955 1.535
4.431 5.995 1.535
5.995 2.520 1.535
```

For the spin magnetization, the calculation gives 0.000 μB/f.u. The calculation puts the formation energy at -3 meV/atom. The density of states at the Fermi level is 1.38 states/eV/atom.

VASP calculation (PBE) on an optimized crystal structure of La3Se4Cl.

The structure in POSCAR format:
```
La3Se4Cl
1.0
12.846 0.000 0.000
0.000 8.024 0.000
0.000 0.000 8.594
La Se Cl
12 16 4
Cartesian
0.129 0.651 0.000
2.234 4.101 6.413
2.354 4.213 2.125
4.069 0.201 6.422
4.189 0.089 2.116
6.294 4.664 4.297
6.552 3.361 0.000
8.658 7.935 6.413
8.777 7.824 2.125
10.492 3.812 6.422
10.612 3.923 2.116
12.718 7.373 4.297
0.024 3.725 0.024
1.268 1.293 6.025
2.414 6.625 8.568
2.805 6.402 4.298
3.618 2.390 0.001
4.009 2.613 4.271
5.155 5.305 1.728
6.399 7.737 4.321
6.447 0.287 0.024
7.691 2.719 6.025
8.837 5.411 8.568
9.228 5.634 4.298
10.042 1.622 0.001
10.432 1.399 4.271
11.579 6.732 1.728
12.822 4.300 4.321
1.351 1.257 2.492
5.073 5.269 6.789
7.774 2.755 2.492
11.496 6.767 6.789
```

For the formation energy (no corrections), the calculation gives -202 kJ per mole of atoms. For the spin magnetization, the calculation gives 0.000 μB/f.u.

VASP calculation (PBE) on an optimized crystal structure of NaFeSbI2.

The structure in POSCAR format:
```
NaFeSbI2
1.0
5.823 0.000 0.000
0.000 5.823 0.000
0.000 0.000 4.854
Na Fe Sb I
1 1 1 2
Cartesian
0.000 0.000 0.000
2.911 2.911 2.427
2.911 2.911 0.000
0.000 2.911 2.427
2.911 0.000 2.427
```

For the formation energy (no corrections), the calculation gives -2 kJ per mole of atoms. For the spin magnetization, the calculation gives 1.786 μB/f.u. Its polymorph energy (0 for the lowest one) is 0 meV/atom. The density of states at the Fermi level is 0.83 states/eV/atom.

VASP calculation (PBE) on an optimized crystal structure of Li6Zn2In.

The structure in POSCAR format:
```
Li6Zn2In
1.0
3.963 2.288 2.711
-3.963 2.288 2.711
0.000 -4.576 2.711
Li Zn In
6 2 1
Cartesian
-1.317 -2.295 2.711
-2.646 0.007 2.711
1.317 -2.295 2.711
-1.329 2.288 2.711
2.646 0.007 2.711
1.329 2.288 2.711
0.000 0.000 1.281
0.000 0.000 6.852
0.000 0.000 4.067
```

For the spin magnetization, the calculation gives 0.000 μB/f.u. The calculation puts the formation energy at -179 meV/atom. Its polymorph energy (0 for the lowest one) is 0 meV/atom. The density of states at the Fermi level is 0.38 states/eV/atom.

VASP calculation (PBE) on an optimized crystal structure of In2Sn2Te.

The structure in POSCAR format:
```
In2Sn2Te
1.0
8.449 0.000 0.000
0.000 8.449 0.000
0.000 0.000 4.115
In Sn Te
4 4 2
Cartesian
1.415 2.810 0.000
2.810 7.034 0.000
5.639 1.415 0.000
7.034 5.639 0.000
1.161 5.385 2.057
3.064 1.161 2.057
5.385 7.288 2.057
7.288 3.064 2.057
0.000 0.000 2.057
4.225 4.225 2.057
```

For the formation energy (no corrections), the calculation gives 3 kJ per mole of atoms. For the spin magnetization, the calculation gives 0.000 μB/f.u. Its polymorph energy (0 for the lowest one) is 1 meV/atom. The density of states at the Fermi level is 0.48 states/eV/atom.

VASP calculation (PBE) on an optimized crystal structure of K2PmCu2Se4.

The structure in POSCAR format:
```
K2PmCu2Se4
1.0
7.616 -2.040 0.000
7.616 2.040 0.000
-2.674 0.000 7.581
K Pm Cu Se
2 1 2 4
Cartesian
1.842 0.000 0.425
10.716 0.000 7.156
-1.337 0.000 3.791
3.481 0.000 3.876
9.077 0.000 3.705
1.324 0.000 5.143
5.263 0.000 5.613
7.295 0.000 1.969
11.234 0.000 2.439
```

For the formation energy (no corrections), the calculation gives -102 kJ per mole of atoms. For the spin magnetization, the calculation gives 0.000 μB/f.u. The density of states at the Fermi level is 0.61 states/eV/atom.

Repeat the second record exactly.
VASP calculation (PBE) on an optimized crystal structure of GaNiSnSb2.

The structure in POSCAR format:
```
GaNiSnSb2
1.0
5.275 0.000 0.000
0.000 5.275 0.000
0.000 0.000 5.147
Ga Ni Sn Sb
1 1 1 2
Cartesian
0.000 0.000 0.000
2.638 2.638 2.574
0.000 0.000 2.574
0.000 2.638 0.000
2.638 0.000 0.000
```

For the formation energy (no corrections), the calculation gives 94 kJ per mole of atoms. For the spin magnetization, the calculation gives 0.000 μB/f.u. The density of states at the Fermi level is 1.22 states/eV/atom.